BaSr2Ta (GGA-PBEsol, optimized geometry); calculated formation energy = 1.019 eV per atom; calculated density = 5.75 Mg/m³; relative energy among the computed polymorphs = 209.5 meV/atom; raw total energy = -3.58 eV per atom
1.0
3.493 0.000 0.000
-1.071 6.856 0.000
-1.211 -3.428 5.953
Ba Sr Ta
1 2 1
Cartesian
1.747 0.000 0.000
0.605 1.714 2.976
-0.605 -1.714 2.976
-0.536 3.428 0.000

---

BaSr2Tc (GGA-PBEsol, optimized geometry); calculated formation energy = 0.718 eV per atom; calculated density = 4.64 Mg/m³; relative energy among the computed polymorphs = 10.6 meV/atom; raw total energy = -3.56 eV per atom
1.0
3.638 0.000 0.000
0.000 5.811 0.000
-1.819 -2.906 6.948
Ba Sr Tc
1 2 1
Cartesian
0.000 0.000 2.347
1.819 0.000 6.925
1.819 2.906 4.557
1.819 0.000 0.067

---

BaSr2Tc (GGA-PBEsol, optimized geometry); calculated formation energy = 0.852 eV per atom; calculated density = 4.69 Mg/m³; relative energy among the computed polymorphs = 144.4 meV/atom; raw total energy = -3.42 eV per atom
1.0
3.800 0.000 0.000
1.900 3.291 0.000
1.900 1.097 11.628
Ba Sr Tc
1 2 1
Cartesian
0.000 0.000 0.000
1.900 1.097 3.724
5.700 3.291 7.904
3.800 2.194 5.814